Here is Cs2CeMn3F12 after structural relaxation from Alexandria via LeMat-Bulk. Energies are from GGA+U.

Cell and atoms, written as POSCAR:
```
Cs2CeMn3F12
1.0
3.902 2.253 6.589
-3.902 2.253 6.589
0.000 -4.506 6.589
Cs Ce Mn F
2 1 3 12
direct
0.104 0.104 0.104 Cs
0.896 0.896 0.896 Cs
0.500 0.500 0.500 Ce
0.000 0.500 0.500 Mn
0.500 0.000 0.500 Mn
0.500 0.500 0.000 Mn
0.159 0.585 0.585 F
0.194 0.194 0.583 F
0.194 0.583 0.194 F
0.415 0.415 0.841 F
0.415 0.841 0.415 F
0.417 0.806 0.806 F
0.583 0.194 0.194 F
0.585 0.159 0.585 F
0.585 0.585 0.159 F
0.806 0.417 0.806 F
0.806 0.806 0.417 F
0.841 0.415 0.415 F
```

Output
final energy: -5.9447 eV per atom
M_tot: 0.833 μB per atom
SG: R-3m, No. 166